The following is a PBE calculation of a relaxed Mg3Zr2 crystal, from the Alexandria database.

Magnetization = 0.163 μB/cell
Symmetry = No. 164
DFT formation energy = 36 kJ per mole of atoms
Calculated density = 3.251 g/cm³
Polymorph energy (0 for the lowest one) = 1.75 eV per formula unit

Lattice parameters (Å, degrees): 4.9374 4.9374 6.1775 90.00 90.00 120.00
Element x y z (fractional)
1 Mg 0.0000 0.0000 0.0000
2 Mg 0.3333 0.6667 0.3510
3 Mg 0.6667 0.3333 0.6490
4 Zr 0.3333 0.6667 0.8683
5 Zr 0.6667 0.3333 0.1317

The following is a PBE calculation of a relaxed Tb6TmS8 crystal, from the Alexandria database.

Magnetization = 0.000 μB/cell
Uncorrected formation energy = -2.060 eV/atom
Symmetry = No. 225
Calculated density = 6.746 g/cm³

Lattice parameters (Å, degrees): 7.8299 7.8299 7.8299 60.00 60.00 60.00
Element x y z (fractional)
1 Tb 0.0000 0.0000 0.5000
2 Tb 0.0000 0.5000 0.0000
3 Tb 0.0000 0.5000 0.5000
4 Tb 0.5000 0.0000 0.0000
5 Tb 0.5000 0.0000 0.5000
6 Tb 0.5000 0.5000 0.0000
7 Tm 0.0000 0.0000 0.0000
8 S 0.2470 0.2470 0.7530
9 S 0.2470 0.7530 0.2470
10 S 0.2470 0.7530 0.7530
11 S 0.2500 0.2500 0.2500
12 S 0.7500 0.7500 0.7500
13 S 0.7530 0.2470 0.2470
14 S 0.7530 0.2470 0.7530
15 S 0.7530 0.7530 0.2470

The following is a PBE calculation of a relaxed SrCaGa2Ni crystal, from the Alexandria database.

Magnetization = 0.000 μB/cell
Symmetry = No. 123
DFT formation energy = -25 kJ per mole of atoms
Calculated density = 4.585 g/cm³
Polymorph energy (0 for the lowest one) = 0.00 eV per formula unit

Lattice parameters (Å, degrees): 4.8157 4.8157 5.0889 90.00 90.00 90.00
Element x y z (fractional)
1 Sr 0.0000 0.0000 0.0000
2 Ca 0.5000 0.5000 0.0000
3 Ga 0.0000 0.5000 0.5000
4 Ga 0.5000 0.0000 0.5000
5 Ni 0.5000 0.5000 0.5000

The following is a PBE calculation of a relaxed ThMgSn2 crystal, from the Alexandria database.

Magnetization = 0.000 μB/cell
Symmetry = No. 139
DFT formation energy = -45 kJ per mole of atoms
Calculated density = 7.638 g/cm³
Polymorph energy (0 for the lowest one) = 0.00 eV per formula unit

Lattice parameters (Å, degrees): 4.4740 4.4740 21.4526 90.00 90.00 90.00
Element x y z (fractional)
1 Th 0.0000 0.0000 0.1126
2 Th 0.0000 0.0000 0.8874
3 Th 0.5000 0.5000 0.3874
4 Th 0.5000 0.5000 0.6126
5 Mg 0.0000 0.5000 0.2500
6 Mg 0.0000 0.5000 0.7500
7 Mg 0.5000 0.0000 0.2500
8 Mg 0.5000 0.0000 0.7500
9 Sn 0.0000 0.0000 0.3434
10 Sn 0.0000 0.0000 0.6566
11 Sn 0.0000 0.5000 0.0000
12 Sn 0.0000 0.5000 0.5000
13 Sn 0.5000 0.0000 0.0000
14 Sn 0.5000 0.0000 0.5000
15 Sn 0.5000 0.5000 0.1566
16 Sn 0.5000 0.5000 0.8434